4
Lattice="2.527 0.004 0.000 -0.815 2.392 0.000 0.000 0.000 8.329" Properties=species:S:1:pos:R:3 comment="ZnCr2Tc (meta-GGA SCAN, PBEsol geometry)" magnetic_moment_mub_per_cell=0.00 final_energy_ev_per_atom=-21.1713 formation_enthalpy_0k_ev_per_fu=0.66 space_group="Cmmm, No. 65" pbc="T T T"
Cr 0.000 0.000 2.120
Cr 0.000 0.000 6.209
Tc 0.856 1.198 4.165
Zn 0.856 1.198 0.000